5
Lattice="4.7294 0.0000 0.0000 0.0000 4.7294 0.0000 0.0000 0.0000 4.7294" Properties=species:S:1:pos:R:3 comment="YMgNi3, relaxed, DFT PBE" magmom_total_mub_per_fu=0.00 crystal_system=cubic polymorph_energy_mev_per_atom=600 spacegroup="No. 221" formation_energy_mev_per_atom=981 dos_at_fermi_per_ev_cell=3.50 pbc="T T T"
Y 0.0000 0.0000 0.0000
Ni 0.0000 2.3647 0.0000
Ni 0.0000 0.0000 2.3647
Ni 2.3647 0.0000 0.0000
Mg 2.3647 2.3647 2.3647

=====

5
Lattice="-2.4950 -2.8093 -3.0415 -0.8703 -3.1159 3.5919 -4.0480 2.4015 1.1024" Properties=species:S:1:pos:R:3 comment="TaIn3Fe, relaxed, DFT PBE" magmom_total_mub_per_fu=0.00 crystal_system=cubic polymorph_energy_mev_per_atom=0 spacegroup="No. 221" formation_energy_mev_per_atom=1052 dos_at_fermi_per_ev_cell=6.35 pbc="T T T"
In -0.4352 -1.5579 1.7960
In -2.0240 1.2007 0.5512
In -1.2475 -1.4047 -1.5208
Fe 0.0000 0.0000 0.0000
Ta -3.7066 -1.7619 0.8264

=====

4
Lattice="-3.7257 4.4566 -6.2242 -6.3329 3.0232 -4.8204 -5.1088 5.8051 -3.5612" Properties=species:S:1:pos:R:3 comment="CaInRh2, relaxed, DFT PBE" magmom_total_mub_per_fu=0.00 crystal_system=trigonal spacegroup="No. 166" formation_energy_mev_per_atom=-88 dos_at_fermi_per_ev_cell=3.78 pbc="T T T"
Ca -3.7918 3.3212 -3.6514
Rh -0.0786 0.0688 -0.0756
Rh -7.5051 6.5737 -7.2273
In -11.3755 9.9637 -10.9543

=====

6
Lattice="1.6400 7.0587 -0.4685 -1.6400 7.0587 -0.4685 0.0000 3.3302 5.5516" Properties=species:S:1:pos:R:3 comment="CrPb, relaxed, DFT PBE" magmom_total_mub_per_fu=1.22 crystal_system=monoclinic spacegroup="No. 8" formation_energy_mev_per_atom=506 dos_at_fermi_per_ev_cell=3.38 pbc="T T T"
Cr 0.0000 3.5498 5.2343
Cr 0.0000 11.1317 2.8967
Cr 0.0000 8.7201 4.3536
Pb 0.0000 5.8377 1.6314
Pb 0.0000 1.8081 2.3475
Pb 0.0000 13.4158 4.6379